This record from Alexandria describes a relaxed SrLi2Pt crystal. The functional is GGA-PBE.

Summary:
* formation energy from the elements: -302 meV per atom
* DOS(E_F): 1.34 states/eV/f.u.
* distance to the lowest polymorph of the same formula: 175 meV/atom

Cell lengths 4.282, 4.259, 4.875 Å; angles 90.00, 90.15, 90.00 degrees
Space group P2/m (No. 10)
Inequivalent atoms, fractional coordinates:
Sr 0.000 0.000 0.000 [1 per cell]
Li 0.000 0.500 0.500 [1 per cell]
Li 0.500 0.000 0.500 [1 per cell]
Pt 0.500 0.500 0.000 [1 per cell]

=====

This record from Alexandria describes a relaxed SrLi2TbPt2 crystal. The functional is GGA-PBE.

Summary:
* formation energy from the elements: -728 meV per atom
* DOS(E_F): 1.74 states/eV/f.u.

Cell lengths 4.3970, 4.3970, 7.7426 Å; angles 90.00, 90.00, 120.00 degrees
Space group P-3m1 (No. 164)
Inequivalent atoms, fractional coordinates:
Sr 0.0000 0.0000 0.0000 [1 per cell]
Li 0.3333 0.6667 0.7240 [2 per cell]
Tb 0.0000 0.0000 0.5000 [1 per cell]
Pt 0.3333 0.6667 0.2915 [2 per cell]

=====

This record from Alexandria describes a relaxed Sr2LiTl6Pt crystal. The functional is GGA-PBE.

Summary:
* formation energy from the elements: -176 meV per atom
* DOS(E_F): 6.98 states/eV/f.u.

Cell lengths 7.526, 7.553, 10.652 Å; angles 90.00, 90.00, 90.00 degrees
Space group Immm (No. 71)
Inequivalent atoms, fractional coordinates:
Sr 0.000 0.000 0.250 [4 per cell]
Li 0.000 0.500 0.000 [2 per cell]
Tl 0.000 0.500 0.242 [4 per cell]
Tl 0.242 0.257 0.000 [8 per cell]
Pt 0.000 0.500 0.500 [2 per cell]

=====

This record from Alexandria describes a relaxed SrLiTl2Pt crystal. The functional is GGA-PBE.

Summary:
* formation energy from the elements: -245 meV per atom
* DOS(E_F): 4.06 states/eV/f.u.

Cell lengths 5.359, 5.359, 4.903 Å; angles 90.00, 90.00, 90.00 degrees
Space group P4/mmm (No. 123)
Inequivalent atoms, fractional coordinates:
Sr 0.000 0.000 0.000 [1 per cell]
Li 0.500 0.500 0.000 [1 per cell]
Tl 0.000 0.500 0.500 [2 per cell]
Pt 0.500 0.500 0.500 [1 per cell]